This record from Alexandria via LeMat-Bulk describes an optimized crystal structure of AlPPt. The functional is GGA-PBE.

abc: 4.5034 4.5034 4.5034
angles: 134.21 134.15 66.81
Sites, in units of the cell vectors:
P 0.3373 0.3373 0.0000
Al 0.0055 0.0055 0.0000
Pt 0.6572 0.6572 0.0000

## Properties
ΔE_f	-0.254	eV per atom
space group	No. 107

This record from Alexandria via LeMat-Bulk describes an optimized crystal structure of CsCu3Ni. The functional is GGA-PBE.

abc: 4.7559 4.7559 4.7559
angles: 90.00 90.00 90.00
Sites, in units of the cell vectors:
Cs 0.5000 0.5000 0.5000
Ni 0.0000 0.0000 0.0000
Cu 0.0000 0.5000 0.0000
Cu 0.0000 0.0000 0.5000
Cu 0.5000 0.0000 0.0000

## Properties
energy above the most stable polymorph in this dataset	0.0	meV/atom
ΔE_f	0.702	eV per atom
space group	No. 221

This record from Alexandria via LeMat-Bulk describes an optimized crystal structure of CsMnI4. The functional is GGA-PBE.

abc: 5.8277 12.5619 11.5345
angles: 117.58 90.00 103.41
Sites, in units of the cell vectors:
Cs 0.2324 0.4647 0.2327
Cs 0.7676 0.5353 0.7673
Mn 0.0954 0.1908 0.5952
Mn 0.9046 0.8092 0.4048
I 0.9996 0.9992 0.3395
I 0.1815 0.3630 0.8542
I 0.8192 0.6385 0.4924
I 0.5944 0.1889 0.5946
I 0.4056 0.8111 0.4054
I 0.1808 0.3615 0.5076
I 0.8185 0.6370 0.1458
I 0.0004 0.0008 0.6605

## Properties
energy relative to the elements, uncorrected	-0.689	eV/atom
energy above the most stable polymorph in this dataset	33.4	meV/atom
space group	No. 12

This record from Alexandria via LeMat-Bulk describes an optimized crystal structure of TlCdRe. The functional is GGA-PBE.

abc: 7.5583 7.5583 7.5583
angles: 157.68 157.68 31.77
Sites, in units of the cell vectors:
Re 0.3394 0.3394 0.0000
Tl 0.6792 0.6792 0.0000
Cd 0.9814 0.9814 0.0000

## Properties
energy above the most stable polymorph in this dataset	60.7	meV/atom
ΔE_f	0.898	eV per atom
space group	No. 107

This record from Alexandria via LeMat-Bulk describes an optimized crystal structure of Be2GaCo5Mo2. The functional is GGA-PBE.

abc: 2.8359 8.8413 8.8413
angles: 90.00 90.00 90.00
Sites, in units of the cell vectors:
Be 0.0000 0.1222 0.6222
Be 0.0000 0.8778 0.3778
Be 0.0000 0.6222 0.8778
Be 0.0000 0.3778 0.1222
Ga 0.0000 0.0000 0.0000
Ga 0.0000 0.5000 0.5000
Co 0.5000 0.2116 0.0626
Co 0.5000 0.7884 0.9374
Co 0.5000 0.0626 0.7884
Co 0.5000 0.7116 0.4374
Co 0.5000 0.9374 0.2116
Co 0.5000 0.2884 0.5626
Co 0.5000 0.5626 0.7116
Co 0.5000 0.4374 0.2884
Co 0.5000 0.5000 0.0000
Co 0.5000 0.0000 0.5000
Mo 0.0000 0.6768 0.1768
Mo 0.0000 0.3232 0.8232
Mo 0.0000 0.1768 0.3232
Mo 0.0000 0.8232 0.6768

## Properties
ΔE_f	-0.123	eV per atom
space group	No. 127

This record from Alexandria via LeMat-Bulk describes an optimized crystal structure of GaAgAsSe2. The functional is GGA-PBE.

abc: 5.2536 5.2536 4.8937
angles: 90.00 90.00 90.00
Sites, in units of the cell vectors:
As 0.0000 0.0000 0.5000
Ga 0.5000 0.5000 0.5000
Se 0.0000 0.5000 0.0000
Se 0.5000 0.0000 0.0000
Ag 0.0000 0.0000 0.0000

## Properties
energy relative to the elements, uncorrected	0.581	eV/atom
energy above the most stable polymorph in this dataset	47.9	meV/atom
space group	No. 123

This record from Alexandria via LeMat-Bulk describes an optimized crystal structure of Mg2Zn2Sb. The functional is GGA-PBE.

abc: 7.9335 7.9335 3.2023
angles: 90.00 90.00 90.00
Sites, in units of the cell vectors:
Sb 0.0000 0.0000 0.0000
Sb 0.5000 0.5000 0.0000
Zn 0.3832 0.8832 0.0000
Zn 0.8832 0.6168 0.0000
Zn 0.6168 0.1168 0.0000
Zn 0.1168 0.3832 0.0000
Mg 0.1771 0.6771 0.5000
Mg 0.6771 0.8229 0.5000
Mg 0.8229 0.3229 0.5000
Mg 0.3229 0.1771 0.5000

## Properties
energy relative to the elements, uncorrected	-0.038	eV/atom
energy above the most stable polymorph in this dataset	0.0	meV/atom
space group	No. 127

This record from Alexandria via LeMat-Bulk describes an optimized crystal structure of La6S5Cl. The functional is GGA-PBE.

abc: 7.1948 7.1948 7.2125
angles: 99.61 99.61 120.04
Sites, in units of the cell vectors:
S 0.8359 0.1641 0.5000
S 0.6669 0.3331 0.0000
S 0.5000 0.5000 0.5000
S 0.3331 0.6669 0.0000
S 0.1641 0.8359 0.5000
Cl 0.0000 0.0000 0.0000
La 0.4288 0.0858 0.2574
La 0.9142 0.5712 0.7426
La 0.2576 0.2576 0.7437
La 0.7424 0.7424 0.2563
La 0.0858 0.4288 0.2574
La 0.5712 0.9142 0.7426

## Properties
energy relative to the elements, uncorrected	-2.082	eV/atom
space group	No. 12

This record from Alexandria via LeMat-Bulk describes an optimized crystal structure of Pa2SnSb. The functional is GGA-PBE.

abc: 5.2657 5.2657 5.2657
angles: 60.00 60.00 60.00
Sites, in units of the cell vectors:
Sb 0.0000 0.0000 0.0000
Pa 0.2500 0.2500 0.2500
Pa 0.7500 0.7500 0.7500
Sn 0.5000 0.5000 0.5000

## Properties
energy relative to the elements, uncorrected	-0.251	eV/atom
energy above the most stable polymorph in this dataset	33.9	meV/atom
space group	No. 225

This record from Alexandria via LeMat-Bulk describes an optimized crystal structure of Fe3MoSe. The functional is GGA-PBE.

abc: 4.5257 4.5257 4.5257
angles: 90.00 90.00 90.00
Sites, in units of the cell vectors:
Mo 0.0000 0.0000 0.0000
Fe 0.0000 0.5000 0.0000
Fe 0.0000 0.0000 0.5000
Fe 0.5000 0.0000 0.0000
Se 0.5000 0.5000 0.5000

## Properties
energy relative to the elements, uncorrected	1.499	eV/atom
energy above the most stable polymorph in this dataset	447.7	meV/atom
space group	No. 221

This record from Alexandria via LeMat-Bulk describes an optimized crystal structure of Tb5PmPrY2. The functional is GGA-PBE.

abc: 5.6661 10.3739 10.6660
angles: 90.00 90.00 105.85
Sites, in units of the cell vectors:
Tb 0.3918 0.7837 0.0241
Tb 0.7177 0.4353 0.8097
Tb 0.4781 0.9561 0.7370
Tb 0.2979 0.5958 0.7075
Tb 0.9817 0.9633 0.5269
Tb 0.6082 0.2163 0.5241
Tb 0.2823 0.5647 0.3097
Tb 0.5219 0.0439 0.2370
Tb 0.7021 0.4042 0.2075
Tb 0.0183 0.0367 0.0269
Pm 0.7971 0.5942 0.5112
Pm 0.2029 0.4058 0.0112
Pr 0.5830 0.1661 0.9516
Pr 0.4170 0.8339 0.4516
Y 0.8855 0.7710 0.8225
Y 0.1106 0.2211 0.7336
Y 0.1145 0.2290 0.3225
Y 0.8894 0.7789 0.2336

## Properties
ΔE_f	0.152	eV per atom
space group	No. 36

This record from Alexandria via LeMat-Bulk describes an optimized crystal structure of La5Sm2Y. The functional is GGA-PBE.

abc: 5.7250 6.7278 16.7011
angles: 90.00 90.00 115.18
Sites, in units of the cell vectors:
La 0.9249 0.8498 0.9067
La 0.9249 0.8498 0.5933
La 0.3848 0.7696 0.4478
La 0.3848 0.7696 0.0522
La 0.5343 0.0686 0.2500
La 0.4657 0.9314 0.7500
La 0.6152 0.2304 0.5522
La 0.6152 0.2304 0.9478
La 0.0751 0.1502 0.0933
La 0.0751 0.1502 0.4067
Sm 0.7741 0.5482 0.3661
Sm 0.7741 0.5482 0.1339
Sm 0.2259 0.4518 0.6339
Sm 0.2259 0.4518 0.8661
Y 0.7473 0.4947 0.7500
Y 0.2527 0.5053 0.2500

## Properties
ΔE_f	0.113	eV per atom
space group	No. 63

no.,magnetization (μB/cell)
1,0.0
2,0.0
3,8.0
4,0.0
5,5.0
6,0.0
7,0.0
8,0.0
9,0.0
10,5.5
11,0.0
12,0.0